1.
DFT (PBE) results for a geometry-optimized RuSe2 structure.

The structure in POSCAR format:
```
RuSe2
1.0
6.004 0.000 0.000
0.000 6.004 0.000
0.000 0.000 6.004
Ru Se
4 8
Direct
0.000 0.000 0.000 Ru
0.000 0.500 0.500 Ru
0.500 0.000 0.500 Ru
0.500 0.500 0.000 Ru
0.121 0.621 0.879 Se
0.121 0.879 0.379 Se
0.379 0.121 0.879 Se
0.379 0.379 0.379 Se
0.621 0.621 0.621 Se
0.621 0.879 0.121 Se
0.879 0.121 0.621 Se
0.879 0.379 0.121 Se
```

Summary:
- ρ: 7.9 g cm⁻³
- Total energy: -5.840 eV per atom
- Magnetization: 0.000 Bohr magnetons per cell



2.
DFT (PBE) results for a geometry-optimized RuSe4 structure.

The structure in POSCAR format:
```
RuSe4
1.0
-2.719 2.719 4.030
2.719 -2.719 4.030
2.719 2.719 -4.030
Ru Se
1 4
Direct
0.000 0.000 0.000 Ru
0.250 0.750 0.500 Se
0.293 0.293 0.000 Se
0.707 0.707 0.000 Se
0.750 0.250 0.500 Se
```

Summary:
- ρ: 5.8 g cm⁻³
- Magnetization: 1.112 Bohr magnetons per cell
- E above lowest polymorph: 0.0600 eV/atom



3.
DFT (PBE) results for a geometry-optimized RuSe3 structure.

The structure in POSCAR format:
```
RuSe3
1.0
-2.109 2.109 9.412
2.109 -2.109 9.412
2.109 2.109 -9.412
Ru Se
2 6
Direct
0.182 0.182 0.000 Ru
0.818 0.818 0.000 Ru
0.000 0.500 0.500 Se
0.250 0.750 0.500 Se
0.400 0.400 0.000 Se
0.500 0.000 0.500 Se
0.600 0.600 0.000 Se
0.750 0.250 0.500 Se
```

Summary:
- ρ: 6.7 g cm⁻³
- Magnetization: 0.001 Bohr magnetons per cell
- E above lowest polymorph: 0.5705 eV/atom



4.
DFT (PBE) results for a geometry-optimized RuSe2 structure.

The structure in POSCAR format:
```
RuSe2
1.0
1.944 1.122 4.805
-1.944 1.122 4.805
0.000 -2.245 4.805
Ru Se
1 2
Direct
0.000 0.000 0.000 Ru
0.411 0.411 0.411 Se
0.589 0.589 0.589 Se
```

Summary:
- ρ: 6.8 g cm⁻³
- Total energy: -5.580 eV per atom
- Magnetization: 0.000 Bohr magnetons per cell



5.
DFT (PBE) results for a geometry-optimized Ru3Se4 structure.

The structure in POSCAR format:
```
Ru3Se4
1.0
5.545 0.000 0.000
-2.773 4.802 0.000
0.000 0.000 4.608
Ru Se
3 4
Direct
0.000 0.500 0.000 Ru
0.500 0.000 0.000 Ru
0.500 0.500 0.000 Ru
0.000 0.000 0.243 Se
0.000 0.000 0.757 Se
0.333 0.667 0.500 Se
0.667 0.333 0.500 Se
```

Summary:
- ρ: 8.4 g cm⁻³
- Total energy: -5.205 eV per atom
- Magnetization: 0.000 Bohr magnetons per cell



6.
DFT (PBE) results for a geometry-optimized Ru5Se structure.

The structure in POSCAR format:
```
Ru5Se
1.0
4.961 -1.407 0.000
4.961 1.407 0.000
-1.957 0.000 6.230
Ru Se
5 1
Direct
0.000 0.000 0.000 Ru
0.053 0.053 0.647 Ru
0.331 0.331 0.674 Ru
0.432 0.432 0.304 Ru
0.731 0.731 0.966 Ru
0.688 0.688 0.332 Se
```

Summary:
- ρ: 11.2 g cm⁻³
- Magnetization: 0.000 Bohr magnetons per cell
- E above lowest polymorph: 0.0000 eV/atom



7.
DFT (PBE) results for a geometry-optimized RuSe3 structure.

The structure in POSCAR format:
```
RuSe3
1.0
3.353 0.000 0.000
-1.676 2.904 0.000
0.000 0.000 8.637
Ru Se
1 3
Direct
0.000 0.000 0.000 Ru
0.000 0.000 0.500 Se
0.667 0.333 0.183 Se
0.667 0.333 0.817 Se
```

Summary:
- ρ: 6.7 g cm⁻³
- Magnetization: 0.000 Bohr magnetons per cell
- E above lowest polymorph: 0.2060 eV/atom



8.
DFT (PBE) results for a geometry-optimized RuSe3 structure.

The structure in POSCAR format:
```
RuSe3
1.0
4.163 0.000 0.000
0.000 4.163 0.000
0.000 0.000 4.163
Ru Se
1 3
Direct
0.000 0.000 0.000 Ru
0.000 0.500 0.500 Se
0.500 0.000 0.500 Se
0.500 0.500 0.000 Se
```

Summary:
- ρ: 7.8 g cm⁻³
- Magnetization: 0.000 Bohr magnetons per cell
- E above lowest polymorph: 0.8566 eV/atom



Which of these has the highest ρ? Ru5Se



Look up the magnetization of the seventh one. 0.000 Bohr magnetons per cell



What is the magnetization in the fifth record? 0.000 Bohr magnetons per cell